This record from the Alexandria database describes an optimized crystal structure of Sr3PrMn4O12. The functional is PBE with a Hubbard U.

Output
relative energy among the computed polymorphs	0.0	meV per atom
ρ	5.743	Mg/m³

Unit cell a=7.7330 b=5.5227 c=5.5227 alpha=88.58 beta=90.00 gamma=90.00
Element x y z (fractional)
Sr1 0.0000 0.0000 0.0000
Sr2 0.0000 0.4962 0.4962
Sr3 0.5000 0.4980 0.4980
Pr1 0.5000 0.0020 0.0020
Mn1 0.2493 0.4990 0.9988
Mn2 0.2493 0.9988 0.4990
Mn3 0.7507 0.4990 0.9988
Mn4 0.7507 0.9988 0.4990
O1 0.0000 0.5339 0.9595
O2 0.0000 0.9595 0.5339
O3 0.2159 0.2505 0.2505
O4 0.2590 0.2416 0.7556
O5 0.2590 0.7556 0.2416
O6 0.2948 0.7544 0.7544
O7 0.5000 0.0339 0.4516
O8 0.5000 0.4516 0.0339
O9 0.7052 0.7544 0.7544
O10 0.7410 0.2416 0.7556
O11 0.7410 0.7556 0.2416
O12 0.7841 0.2505 0.2505